# KMnFe | Alexandria | PBE | optimized geometry
data_KMnFe
_cell_length_a 5.091
_cell_length_b 5.091
_cell_length_c 5.091
_cell_angle_alpha 60.00
_cell_angle_beta 60.00
_cell_angle_gamma 60.00
_space_group_name_H-M_alt 'P 1'
_space_group_IT_number 1
loop_
_space_group_symop_operation_xyz
'x,y,z'
loop_
_atom_site_label
_atom_site_type_symbol
_atom_site_fract_x
_atom_site_fract_y
_atom_site_fract_z
_atom_site_occupancy
Mn1 Mn 0.000 0.000 0.000 1
K1 K 0.750 0.750 0.750 1
Fe1 Fe 0.500 0.500 0.500 1
# **Calculated formation energy**: 2.00 eV per atom
# **Magnetic moment**: 7.79 μB per formula unit